DFT (PBE) results for a relaxed structure of Li4H5Ir.

final energy	-3.738	eV per atom
size of the total moment	0.0	Bohr magnetons per cell
Fermi-level density of states	1.21	states/eV/f.u.

```
data_Li4H5Ir
_cell_length_a 6.098
_cell_length_b 6.098
_cell_length_c 4.524
_cell_angle_alpha 90.00
_cell_angle_beta 90.00
_cell_angle_gamma 90.00
_space_group_name_H-M_alt 'I 4'
_space_group_IT_number 79
_space_group_name_Hall 'I 4'
loop_
_atom_site_label
_atom_site_fract_x
_atom_site_fract_y
_atom_site_fract_z
Li1 0.109 0.722 0.000
H1 0.000 0.000 0.879
H2 0.070 0.729 0.473
Ir1 0.000 0.000 0.498
```